Arrangement P

# Ba2TaTc, PBEsol geometry, DFT meta-GGA SCAN
data_Ba2TaTc
_chemical_formula_sum 'Ba2 Ta1 Tc1'
_space_group_name_H-M_alt 'P 1'
_space_group_IT_number 1
_cell_length_a 3.018
_cell_length_b 5.568
_cell_length_c 5.945
_cell_angle_alpha 90.00
_cell_angle_beta 90.00
_cell_angle_gamma 90.00
loop_
_space_group_symop_operation_xyz
'x,y,z'
loop_
_atom_site_label
_atom_site_type_symbol
_atom_site_fract_x
_atom_site_fract_y
_atom_site_fract_z
Ba1 Ba 0.000 0.000 0.252
Ba2 Ba 0.000 0.000 0.748
Ta1 Ta 0.500 0.500 0.000
Tc1 Tc 0.500 0.500 0.500
# - Magnetization: 0.000 μB/cell


Arrangement Q

# Ba2TaTc, PBEsol geometry, DFT meta-GGA SCAN
data_Ba2TaTc
_chemical_formula_sum 'Ba2 Ta1 Tc1'
_space_group_name_H-M_alt 'P 1'
_space_group_IT_number 1
_cell_length_a 3.389
_cell_length_b 3.930
_cell_length_c 9.728
_cell_angle_alpha 99.43
_cell_angle_beta 100.03
_cell_angle_gamma 90.00
loop_
_space_group_symop_operation_xyz
'x,y,z'
loop_
_atom_site_label
_atom_site_type_symbol
_atom_site_fract_x
_atom_site_fract_y
_atom_site_fract_z
Ba1 Ba 0.649 0.618 0.299
Ba2 Ba 0.351 0.382 0.701
Ta1 Ta 0.500 0.000 0.000
Tc1 Tc 0.000 0.500 0.000
# - Magnetization: 0.000 μB/cell


Arrangement R

# Ba2TaTc, PBEsol geometry, DFT meta-GGA SCAN
data_Ba2TaTc
_chemical_formula_sum 'Ba2 Ta1 Tc1'
_space_group_name_H-M_alt 'P 1'
_space_group_IT_number 1
_cell_length_a 3.244
_cell_length_b 3.244
_cell_length_c 11.226
_cell_angle_alpha 81.69
_cell_angle_beta 81.69
_cell_angle_gamma 60.00
loop_
_space_group_symop_operation_xyz
'x,y,z'
loop_
_atom_site_label
_atom_site_type_symbol
_atom_site_fract_x
_atom_site_fract_y
_atom_site_fract_z
Ta1 Ta 0.500 0.500 0.500
Ba1 Ba 0.256 0.256 0.233
Ba2 Ba 0.744 0.744 0.767
Tc1 Tc 0.000 0.000 0.000
# - Magnetization: 2.215 μB/cell


Computed stability ranking, most favorable first: arrangement Q, arrangement P, arrangement R


Arrangement P

# BaTa2Tc, PBEsol geometry, DFT meta-GGA SCAN
data_BaTa2Tc
_chemical_formula_sum 'Ba1 Ta2 Tc1'
_space_group_name_H-M_alt 'P 1'
_space_group_IT_number 1
_cell_length_a 2.841
_cell_length_b 5.506
_cell_length_c 5.822
_cell_angle_alpha 118.22
_cell_angle_beta 90.00
_cell_angle_gamma 90.00
loop_
_space_group_symop_operation_xyz
'x,y,z'
loop_
_atom_site_label
_atom_site_type_symbol
_atom_site_fract_x
_atom_site_fract_y
_atom_site_fract_z
Ba1 Ba 0.500 0.500 0.000
Ta1 Ta 0.000 0.000 0.500
Ta2 Ta 0.000 0.500 0.500
Tc1 Tc 0.500 0.000 0.000
# - Magnetization: 0.000 μB/cell


Arrangement Q

# BaTa2Tc, PBEsol geometry, DFT meta-GGA SCAN
data_BaTa2Tc
_chemical_formula_sum 'Ba1 Ta2 Tc1'
_space_group_name_H-M_alt 'P 1'
_space_group_IT_number 1
_cell_length_a 2.948
_cell_length_b 5.531
_cell_length_c 5.653
_cell_angle_alpha 115.50
_cell_angle_beta 98.65
_cell_angle_gamma 103.03
loop_
_space_group_symop_operation_xyz
'x,y,z'
loop_
_atom_site_label
_atom_site_type_symbol
_atom_site_fract_x
_atom_site_fract_y
_atom_site_fract_z
Ba1 Ba 0.000 0.500 0.000
Ta1 Ta 0.500 0.500 0.500
Ta2 Ta 0.000 0.000 0.500
Tc1 Tc 0.500 0.000 0.000
# - Magnetization: 0.000 μB/cell


Computed stability ranking, most favorable first: arrangement Q, arrangement P


Arrangement P

# BaTa2Tl, PBEsol geometry, DFT meta-GGA SCAN
data_BaTa2Tl
_chemical_formula_sum 'Ba1 Ta2 Tl1'
_space_group_name_H-M_alt 'P 1'
_space_group_IT_number 1
_cell_length_a 3.334
_cell_length_b 3.334
_cell_length_c 10.405
_cell_angle_alpha 80.78
_cell_angle_beta 80.78
_cell_angle_gamma 60.00
loop_
_space_group_symop_operation_xyz
'x,y,z'
loop_
_atom_site_label
_atom_site_type_symbol
_atom_site_fract_x
_atom_site_fract_y
_atom_site_fract_z
Ba1 Ba 0.253 0.253 0.240
Tl1 Tl 0.488 0.488 0.537
Ta1 Ta 0.016 0.016 0.952
Ta2 Ta 0.743 0.743 0.770
# - Magnetization: 0.000 μB/cell


Arrangement Q

# BaTa2Tl, PBEsol geometry, DFT meta-GGA SCAN
data_BaTa2Tl
_chemical_formula_sum 'Ba1 Ta2 Tl1'
_space_group_name_H-M_alt 'P 1'
_space_group_IT_number 1
_cell_length_a 3.505
_cell_length_b 3.505
_cell_length_c 8.228
_cell_angle_alpha 90.00
_cell_angle_beta 90.00
_cell_angle_gamma 90.00
loop_
_space_group_symop_operation_xyz
'x,y,z'
loop_
_atom_site_label
_atom_site_type_symbol
_atom_site_fract_x
_atom_site_fract_y
_atom_site_fract_z
Ba1 Ba 0.500 0.500 0.759
Ta1 Ta 0.500 0.500 0.216
Ta2 Ta 0.000 0.000 0.079
Tl1 Tl 0.000 0.000 0.446
# - Magnetization: 0.000 μB/cell


Arrangement R

# BaTa2Tl, PBEsol geometry, DFT meta-GGA SCAN
data_BaTa2Tl
_chemical_formula_sum 'Ba1 Ta2 Tl1'
_space_group_name_H-M_alt 'P 1'
_space_group_IT_number 1
_cell_length_a 3.081
_cell_length_b 5.336
_cell_length_c 5.594
_cell_angle_alpha 90.00
_cell_angle_beta 90.00
_cell_angle_gamma 90.00
loop_
_space_group_symop_operation_xyz
'x,y,z'
loop_
_atom_site_label
_atom_site_type_symbol
_atom_site_fract_x
_atom_site_fract_y
_atom_site_fract_z
Ba1 Ba 0.000 0.500 0.500
Tl1 Tl 0.500 0.500 0.000
Ta1 Ta 0.000 0.000 0.000
Ta2 Ta 0.500 0.000 0.500
# - Magnetization: 0.000 μB/cell


Computed stability ranking, most favorable first: arrangement Q, arrangement P, arrangement R


Arrangement P

# BaTaW, PBEsol geometry, DFT meta-GGA SCAN
data_BaTaW
_chemical_formula_sum 'Ba1 Ta1 W1'
_space_group_name_H-M_alt 'P 1'
_space_group_IT_number 1
_cell_length_a 4.711
_cell_length_b 4.711
_cell_length_c 4.711
_cell_angle_alpha 60.00
_cell_angle_beta 60.00
_cell_angle_gamma 60.00
loop_
_space_group_symop_operation_xyz
'x,y,z'
loop_
_atom_site_label
_atom_site_type_symbol
_atom_site_fract_x
_atom_site_fract_y
_atom_site_fract_z
Ba1 Ba 0.000 0.000 0.000
Ta1 Ta 0.500 0.500 0.500
W1 W 0.250 0.250 0.250
# - Magnetization: 0.000 μB/cell


Arrangement Q

# BaTaW, PBEsol geometry, DFT meta-GGA SCAN
data_BaTaW
_chemical_formula_sum 'Ba1 Ta1 W1'
_space_group_name_H-M_alt 'P 1'
_space_group_IT_number 1
_cell_length_a 2.977
_cell_length_b 4.975
_cell_length_c 4.975
_cell_angle_alpha 120.00
_cell_angle_beta 90.00
_cell_angle_gamma 90.00
loop_
_space_group_symop_operation_xyz
'x,y,z'
loop_
_atom_site_label
_atom_site_type_symbol
_atom_site_fract_x
_atom_site_fract_y
_atom_site_fract_z
Ba1 Ba 0.001 0.000 0.000
W1 W 0.370 0.667 0.333
Ta1 Ta 0.629 0.333 0.667
# - Magnetization: 0.000 μB/cell


Computed stability ranking, most favorable first: arrangement Q, arrangement P


Arrangement P

# Ba2YTa, PBEsol geometry, DFT meta-GGA SCAN
data_Ba2YTa
_chemical_formula_sum 'Ba2 Y1 Ta1'
_space_group_name_H-M_alt 'P 1'
_space_group_IT_number 1
_cell_length_a 4.915
_cell_length_b 4.915
_cell_length_c 6.293
_cell_angle_alpha 112.98
_cell_angle_beta 112.98
_cell_angle_gamma 90.00
loop_
_space_group_symop_operation_xyz
'x,y,z'
loop_
_atom_site_label
_atom_site_type_symbol
_atom_site_fract_x
_atom_site_fract_y
_atom_site_fract_z
Y1 Y 0.000 0.000 0.000
Ba1 Ba 0.250 0.750 0.500
Ba2 Ba 0.750 0.250 0.500
Ta1 Ta 0.500 0.500 0.000
# - Magnetization: 0.927 μB/cell


Arrangement Q

# Ba2YTa, PBEsol geometry, DFT meta-GGA SCAN
data_Ba2YTa
_chemical_formula_sum 'Ba2 Y1 Ta1'
_space_group_name_H-M_alt 'P 1'
_space_group_IT_number 1
_cell_length_a 3.369
_cell_length_b 5.376
_cell_length_c 6.981
_cell_angle_alpha 90.00
_cell_angle_beta 90.00
_cell_angle_gamma 90.00
loop_
_space_group_symop_operation_xyz
'x,y,z'
loop_
_atom_site_label
_atom_site_type_symbol
_atom_site_fract_x
_atom_site_fract_y
_atom_site_fract_z
Ba1 Ba 0.000 0.000 0.767
Ba2 Ba 0.000 0.000 0.233
Ta1 Ta 0.500 0.500 0.000
Y1 Y 0.500 0.500 0.500
# - Magnetization: 0.003 μB/cell


Computed stability ranking, most favorable first: arrangement P, arrangement Q


Arrangement P

# BaYTa, PBEsol geometry, DFT meta-GGA SCAN
data_BaYTa
_chemical_formula_sum 'Ba1 Y1 Ta1'
_space_group_name_H-M_alt 'P 1'
_space_group_IT_number 1
_cell_length_a 3.332
_cell_length_b 3.332
_cell_length_c 8.817
_cell_angle_alpha 90.00
_cell_angle_beta 90.00
_cell_angle_gamma 120.00
loop_
_space_group_symop_operation_xyz
'x,y,z'
loop_
_atom_site_label
_atom_site_type_symbol
_atom_site_fract_x
_atom_site_fract_y
_atom_site_fract_z
Y1 Y 0.667 0.333 0.379
Ta1 Ta 0.333 0.667 0.649
Ba1 Ba 0.000 0.000 0.973
# - Magnetization: 0.001 μB/cell


Arrangement Q

# BaYTa, PBEsol geometry, DFT meta-GGA SCAN
data_BaYTa
_chemical_formula_sum 'Ba1 Y1 Ta1'
_space_group_name_H-M_alt 'P 1'
_space_group_IT_number 1
_cell_length_a 3.232
_cell_length_b 3.232
_cell_length_c 8.648
_cell_angle_alpha 100.74
_cell_angle_beta 100.74
_cell_angle_gamma 90.14
loop_
_space_group_symop_operation_xyz
'x,y,z'
loop_
_atom_site_label
_atom_site_type_symbol
_atom_site_fract_x
_atom_site_fract_y
_atom_site_fract_z
Ta1 Ta 0.320 0.320 0.639
Y1 Y 0.695 0.695 0.389
Ba1 Ba 0.986 0.986 0.971
# - Magnetization: 0.000 μB/cell


Computed stability ranking, most favorable first: arrangement Q, arrangement P